*one*
Here is Dy3Tl2Pb after structural relaxation from the Alexandria database. Energies are from PBE-GGA.

a b c (Å): 3.5673 3.5673 12.9601
angles (deg): 90.00 90.00 90.00
With the nearest neighbours (Å) after each atom.
Fractional positions:
Dy 0.0000 0.0000 0.0000  8 Tl 3.31, 4 Dy 3.57
Dy 0.0000 0.0000 0.3292  4 Tl 3.30, 4 Pb 3.36, 4 Dy 3.57
Dy 0.0000 0.0000 0.6708  4 Tl 3.30, 4 Pb 3.36, 4 Dy 3.57
Tl 0.5000 0.5000 0.1649  8 Dy 3.30-3.31, 4 Tl 3.57
Tl 0.5000 0.5000 0.8351  8 Dy 3.30-3.31, 4 Tl 3.57
Pb 0.5000 0.5000 0.5000  8 Dy 3.36, 4 Pb 3.57

Results
Symmetry: P4/mmm (123)
Density of states at the Fermi level: 4.8 states/eV/f.u.
Total moment: 0.1 μB per cell

=====

*two*
Here is Dy3Tl2Pb after structural relaxation from the Alexandria database. Energies are from PBE-GGA.

a b c (Å): 5.0797 15.2448 4.2703
angles (deg): 90.00 90.00 90.00
With the nearest neighbours (Å) after each atom.
Fractional positions:
Dy 0.0000 0.0000 0.0000  4 Pb 3.32, 4 Tl 3.35, 4 Dy 3.59
Dy 0.0000 0.3337 0.0000  6 Tl 3.29-3.32, 2 Pb 3.31, 4 Dy 3.59-3.60
Dy 0.0000 0.6663 0.0000  6 Tl 3.29-3.32, 2 Pb 3.31, 4 Dy 3.59-3.60
Dy 0.5000 0.1663 0.0000  6 Tl 3.29-3.32, 2 Pb 3.31, 4 Dy 3.59-3.60
Dy 0.5000 0.5000 0.0000  4 Pb 3.32, 4 Tl 3.35, 4 Dy 3.59
Dy 0.5000 0.8337 0.0000  6 Tl 3.29-3.32, 2 Pb 3.31, 4 Dy 3.59-3.60
Tl 0.0000 0.1696 0.5000  8 Dy 3.29-3.35, 2 Tl 3.53, 2 Pb 3.62
Tl 0.0000 0.8304 0.5000  8 Dy 3.29-3.35, 2 Tl 3.53, 2 Pb 3.62
Tl 0.5000 0.3304 0.5000  8 Dy 3.29-3.35, 2 Tl 3.53, 2 Pb 3.62
Tl 0.5000 0.6696 0.5000  8 Dy 3.29-3.35, 2 Tl 3.53, 2 Pb 3.62
Pb 0.0000 0.5000 0.5000  8 Dy 3.31-3.32, 4 Tl 3.62
Pb 0.5000 0.0000 0.5000  8 Dy 3.31-3.32, 4 Tl 3.62

Results
Symmetry: Cmmm (65)
Density of states at the Fermi level: 4.9 states/eV/f.u.
Total moment: 0.0 μB per cell

=====

So which one is most stable? That would be *two*, about 9 meV per atom below the next structure.

=====

*one*
Here is Dy2Tl2Pb after structural relaxation from the Alexandria database. Energies are from PBE-GGA.

a b c (Å): 6.3623 4.7918 10.1040
angles (deg): 90.00 103.07 90.00
With the nearest neighbours (Å) after each atom.
Fractional positions:
Dy 0.0467 0.2500 0.2333  4 Tl 3.15-3.32, 3 Pb 3.18-3.25
Dy 0.4040 0.2500 0.6196  6 Tl 3.14-3.29, 1 Pb 3.45
Dy 0.5960 0.7500 0.3804  6 Tl 3.14-3.29, 1 Pb 3.45
Dy 0.9533 0.7500 0.7667  4 Tl 3.15-3.32, 3 Pb 3.18-3.25
Tl 0.1269 0.7500 0.4442  6 Dy 3.17-3.29, 2 Tl 3.23
Tl 0.4605 0.7500 0.8249  4 Dy 3.14-3.32, 3 Pb 3.14-3.18
Tl 0.5395 0.2500 0.1751  4 Dy 3.14-3.32, 3 Pb 3.14-3.18
Tl 0.8731 0.2500 0.5558  6 Dy 3.17-3.29, 2 Tl 3.23
Pb 0.2272 0.7500 0.0718  3 Tl 3.14-3.18, 4 Dy 3.18-3.45
Pb 0.7728 0.2500 0.9282  3 Tl 3.14-3.18, 4 Dy 3.18-3.45

Results
Symmetry: P2_1/m (11)
Density of states at the Fermi level: 3.8 states/eV/f.u.
Total moment: 0.0 μB per cell

=====

*two*
Here is Dy2Tl2Pb after structural relaxation from the Alexandria database. Energies are from PBE-GGA.

a b c (Å): 8.8055 8.8055 3.7155
angles (deg): 90.00 90.00 90.00
With the nearest neighbours (Å) after each atom.
Fractional positions:
Dy 0.1756 0.3244 0.0000  6 Tl 3.11-3.26
Dy 0.3244 0.8244 0.0000  6 Tl 3.11-3.26
Dy 0.6756 0.1756 0.0000  6 Tl 3.11-3.26
Dy 0.8244 0.6756 0.0000  6 Tl 3.11-3.26
Tl 0.1246 0.6246 0.5000  1 Tl 3.10, 6 Dy 3.11-3.26
Tl 0.3754 0.1246 0.5000  1 Tl 3.10, 6 Dy 3.11-3.26
Tl 0.6246 0.8754 0.5000  1 Tl 3.10, 6 Dy 3.11-3.26
Tl 0.8754 0.3754 0.5000  1 Tl 3.10, 6 Dy 3.11-3.26
Pb 0.0000 0.0000 0.5000  4 Tl 3.48, 2 Pb 3.72, 8 Dy 3.74
Pb 0.5000 0.5000 0.5000  4 Tl 3.48, 2 Pb 3.72, 8 Dy 3.74

Results
Symmetry: P4/mbm (127)
Density of states at the Fermi level: 1.4 states/eV/f.u.
Total moment: 0.0 μB per cell

=====

So which one is most stable? That would be *two*, about 56 meV per atom below the next structure.

=====

*one*
Here is DyTmTlPb after structural relaxation from the Alexandria database. Energies are from PBE-GGA.

a b c (Å): 4.9883 4.9883 8.7720
angles (deg): 90.00 90.00 90.00
With the nearest neighbours (Å) after each atom.
Fractional positions:
Dy 0.0000 0.0000 0.0000  4 Tl 3.32, 4 Pb 3.32, 4 Tm 3.53
Dy 0.5000 0.5000 0.5000  4 Tl 3.32, 4 Pb 3.32, 4 Tm 3.53
Tm 0.0000 0.0000 0.5000  4 Tl 3.32, 4 Pb 3.32, 4 Dy 3.53
Tm 0.5000 0.5000 0.0000  4 Tl 3.32, 4 Pb 3.32, 4 Dy 3.53
Tl 0.0000 0.5000 0.7500  4 Dy 3.32, 4 Tm 3.32, 4 Pb 3.53
Tl 0.5000 0.0000 0.2500  4 Dy 3.32, 4 Tm 3.32, 4 Pb 3.53
Pb 0.0000 0.5000 0.2500  4 Dy 3.32, 4 Tm 3.32, 4 Tl 3.53
Pb 0.5000 0.0000 0.7500  4 Dy 3.32, 4 Tm 3.32, 4 Tl 3.53

Results
Symmetry: I-4m2 (119)
Density of states at the Fermi level: 3.1 states/eV/f.u.
Total moment: 0.0 μB per cell

=====

*two*
Here is DyTmTlPb after structural relaxation from the Alexandria database. Energies are from PBE-GGA.

a b c (Å): 7.6134 7.6134 7.6134
angles (deg): 90.00 90.00 90.00
With the nearest neighbours (Å) after each atom.
Fractional positions:
Dy 0.0000 0.0000 0.0000  4 Pb 3.30, 4 Tl 3.30
Dy 0.0000 0.5000 0.5000  4 Pb 3.30, 4 Tl 3.30
Dy 0.5000 0.0000 0.5000  4 Pb 3.30, 4 Tl 3.30
Dy 0.5000 0.5000 0.0000  4 Pb 3.30, 4 Tl 3.30
Tm 0.0000 0.0000 0.5000  4 Tl 3.30, 4 Pb 3.30
Tm 0.0000 0.5000 0.0000  4 Tl 3.30, 4 Pb 3.30
Tm 0.5000 0.0000 0.0000  4 Tl 3.30, 4 Pb 3.30
Tm 0.5000 0.5000 0.5000  4 Tl 3.30, 4 Pb 3.30
Tl 0.2500 0.2500 0.7500  4 Dy 3.30, 4 Tm 3.30
Tl 0.2500 0.7500 0.2500  4 Dy 3.30, 4 Tm 3.30
Tl 0.7500 0.2500 0.2500  4 Dy 3.30, 4 Tm 3.30
Tl 0.7500 0.7500 0.7500  4 Dy 3.30, 4 Tm 3.30
Pb 0.2500 0.2500 0.2500  4 Tm 3.30, 4 Dy 3.30
Pb 0.2500 0.7500 0.7500  4 Dy 3.30, 4 Tm 3.30
Pb 0.7500 0.2500 0.7500  4 Dy 3.30, 4 Tm 3.30
Pb 0.7500 0.7500 0.2500  4 Dy 3.30, 4 Tm 3.30

Results
Symmetry: F-43m (216)
Density of states at the Fermi level: 3.8 states/eV/f.u.
Total moment: 0.0 μB per cell

=====

So which one is most stable? That would be *one*, about 38 meV per atom below the next structure.

=====

*one*
Here is DyYTlPb after structural relaxation from the Alexandria database. Energies are from PBE-GGA.

a b c (Å): 5.0185 5.0185 8.8056
angles (deg): 90.00 90.00 90.00
With the nearest neighbours (Å) after each atom.
Fractional positions:
Dy 0.0000 0.0000 0.0000  4 Tl 3.34, 4 Pb 3.34, 4 Y 3.55
Dy 0.5000 0.5000 0.5000  4 Tl 3.34, 4 Pb 3.34, 4 Y 3.55
Y 0.0000 0.0000 0.5000  4 Tl 3.34, 4 Pb 3.34, 4 Dy 3.55
Y 0.5000 0.5000 0.0000  4 Tl 3.34, 4 Pb 3.34, 4 Dy 3.55
Tl 0.0000 0.5000 0.2500  4 Dy 3.34, 4 Y 3.34, 4 Pb 3.55
Tl 0.5000 0.0000 0.7500  4 Dy 3.34, 4 Y 3.34, 4 Pb 3.55
Pb 0.0000 0.5000 0.7500  4 Dy 3.34, 4 Y 3.34, 4 Tl 3.55
Pb 0.5000 0.0000 0.2500  4 Dy 3.34, 4 Y 3.34, 4 Tl 3.55

Results
Symmetry: I-4m2 (119)
Density of states at the Fermi level: 3.2 states/eV/f.u.
Total moment: 0.0 μB per cell

=====

*two*
Here is DyYTlPb after structural relaxation from the Alexandria database. Energies are from PBE-GGA.

a b c (Å): 7.6525 7.6525 7.6525
angles (deg): 90.00 90.00 90.00
With the nearest neighbours (Å) after each atom.
Fractional positions:
Dy 0.0000 0.0000 0.0000  4 Tl 3.31, 4 Pb 3.31
Dy 0.0000 0.5000 0.5000  4 Tl 3.31, 4 Pb 3.31
Dy 0.5000 0.0000 0.5000  4 Tl 3.31, 4 Pb 3.31
Dy 0.5000 0.5000 0.0000  4 Tl 3.31, 4 Pb 3.31
Y 0.0000 0.0000 0.5000  4 Pb 3.31, 4 Tl 3.31
Y 0.0000 0.5000 0.0000  4 Pb 3.31, 4 Tl 3.31
Y 0.5000 0.0000 0.0000  4 Pb 3.31, 4 Tl 3.31
Y 0.5000 0.5000 0.5000  4 Pb 3.31, 4 Tl 3.31
Tl 0.2500 0.2500 0.7500  4 Y 3.31, 4 Dy 3.31
Tl 0.2500 0.7500 0.2500  4 Y 3.31, 4 Dy 3.31
Tl 0.7500 0.2500 0.2500  4 Y 3.31, 4 Dy 3.31
Tl 0.7500 0.7500 0.7500  4 Dy 3.31, 4 Y 3.31
Pb 0.2500 0.2500 0.2500  4 Dy 3.31, 4 Y 3.31
Pb 0.2500 0.7500 0.7500  4 Dy 3.31, 4 Y 3.31
Pb 0.7500 0.2500 0.7500  4 Dy 3.31, 4 Y 3.31
Pb 0.7500 0.7500 0.2500  4 Dy 3.31, 4 Y 3.31

Results
Symmetry: F-43m (216)
Density of states at the Fermi level: 3.1 states/eV/f.u.
Total moment: 0.0 μB per cell

=====

So which one is most stable? That would be *one*, about 35 meV per atom below the next structure.

=====

*one*
Here is Dy2TmPb3 after structural relaxation from the Alexandria database. Energies are from PBE-GGA.

a b c (Å): 7.8787 7.8787 6.2369
angles (deg): 90.00 90.00 93.31
With the nearest neighbours (Å) after each atom.
Fractional positions:
Dy 0.0140 0.3208 0.0000  5 Pb 3.11-3.21
Dy 0.3208 0.0140 0.5000  5 Pb 3.11-3.21
Dy 0.6792 0.9860 0.0000  5 Pb 3.11-3.21
Dy 0.9860 0.6792 0.5000  5 Pb 3.11-3.21
Tm 0.3460 0.6540 0.0018  5 Pb 3.09-3.16
Tm 0.6540 0.3460 0.5018  5 Pb 3.09-3.16
Pb 0.0469 0.2824 0.5000  4 Dy 3.11-3.19, 1 Tm 3.16
Pb 0.2824 0.0469 0.0000  4 Dy 3.11-3.19, 1 Tm 3.16
Pb 0.3844 0.6156 0.5018  3 Tm 3.09-3.15, 2 Dy 3.21
Pb 0.6156 0.3844 0.0018  3 Tm 3.09-3.15, 2 Dy 3.21
Pb 0.7176 0.9531 0.5000  4 Dy 3.11-3.19, 1 Tm 3.16
Pb 0.9531 0.7176 0.0000  4 Dy 3.11-3.19, 1 Tm 3.16

Results
Symmetry: Cmc2_1 (36)
Density of states at the Fermi level: 4.2 states/eV/f.u.
Total moment: 0.0 μB per cell

=====

*two*
Here is Dy2TmPb3 after structural relaxation from the Alexandria database. Energies are from PBE-GGA.

a b c (Å): 9.0134 9.0134 6.3832
angles (deg): 100.14 100.14 41.46
With the nearest neighbours (Å) after each atom.
Fractional positions:
Dy 0.0410 0.2925 0.0852  6 Pb 3.19-3.56, 1 Tm 3.56
Dy 0.2925 0.0410 0.5852  6 Pb 3.19-3.56, 1 Tm 3.56
Dy 0.7075 0.9590 0.4148  6 Pb 3.19-3.56, 1 Tm 3.56
Dy 0.9590 0.7075 0.9148  6 Pb 3.19-3.56, 1 Tm 3.56
Tm 0.3765 0.6235 0.7500  6 Pb 3.17-3.55
Tm 0.6235 0.3765 0.2500  6 Pb 3.17-3.55
Pb 0.1235 0.8765 0.2500  2 Tm 3.19, 4 Dy 3.20-3.56, 4 Pb 3.56
Pb 0.2093 0.4592 0.4178  2 Tm 3.17-3.55, 4 Dy 3.19-3.55
Pb 0.4592 0.2093 0.9178  2 Tm 3.17-3.55, 4 Dy 3.19-3.55
Pb 0.5408 0.7907 0.0822  2 Tm 3.17-3.55, 4 Dy 3.19-3.55
Pb 0.7907 0.5408 0.5822  2 Tm 3.17-3.55, 4 Dy 3.19-3.55
Pb 0.8765 0.1235 0.7500  2 Tm 3.19, 4 Dy 3.20-3.56, 4 Pb 3.56

Results
Symmetry: C2/c (15)
Density of states at the Fermi level: 2.5 states/eV/f.u.
Total moment: 0.0 μB per cell

=====

So which one is most stable? That would be *two*, about 339 meV per atom below the next structure.